A plane-wave DFT calculation with PBE was carried out for an optimized crystal structure of TbNd2ScO6.

Lattice parameters (Å, degrees): 5.723 5.976 10.083 90.00 124.09 90.00
Space group P2_1/c (No. 14)
Unique sites:
Tb 0.000 0.000 0.000 x2
Nd 0.269 0.055 0.749 x4
Sc 0.500 0.000 0.500 x2
O 0.130 0.057 0.259 x4
O 0.271 0.689 0.066 x4
O 0.386 0.204 0.071 x4

Computed properties:
Final energy, eV/atom: -8.451
Raw formation energy, kJ per mole of atoms: -330.60
Crystal system: monoclinic
Magnetic moment, μB/cell: 0.0
D(E_F), states/eV per cell: 0.00

---

A plane-wave DFT calculation with PBE was carried out for an optimized crystal structure of NaSc3F.

Lattice parameters (Å, degrees): 5.321 5.321 5.321 90.00 90.00 90.00
Space group Pm-3m (No. 221)
Unique sites:
Na 0.000 0.000 0.000 x1
Sc 0.000 0.000 0.500 x3
F 0.500 0.500 0.500 x1

Computed properties:
Final energy, eV/atom: -3.593
Raw formation energy, kJ per mole of atoms: 81.41
Crystal system: cubic
Energy above the most stable polymorph in this dataset, eV/atom: 1.363
Magnetic moment, μB/cell: 0.0
D(E_F), states/eV per cell: 10.79